VASP calculation (PBE) on crystalline SrCd6Ag at its relaxed geometry.

Cell lengths 4.6377, 4.6377, 9.7282 Å; angles 90.00, 90.00, 90.00 degrees
Space group P4/mmm (No. 123)
Symmetry-distinct sites (fractional):
1 Sr 0.0000 0.0000 0.0000 x1
2 Cd 0.0000 0.5000 0.3295 x4
3 Cd 0.5000 0.5000 0.1432 x2
4 Ag 0.0000 0.0000 0.5000 x1

Calculated values
Electronic total energy (eV for the cell shown): -11.1
Total magnetic moment (μB per formula unit): 0.0
ΔH_f (0 K) (kJ/mol of formula units): -105
ΔE to the lowest computed polymorph (meV/atom): 0